Computed, not measured: a relaxed ZnWO4 crystal at the PBE with a Hubbard U level of DFT.

Summary:
final energy = -6.366 eV per atom
space group = I4_1/a (88)
M_tot = 0.00 μB/f.u.

a = 6.763 Å, b = 6.763 Å, c = 6.763 Å
α = 137.46°, β = 137.46°, γ = 61.73°
Fractional positions:
Zn (0.500, 0.500, 0.000)
Zn (0.250, 0.750, 0.500)
W (0.000, 0.000, 0.000)
W (0.750, 0.250, 0.500)
O (0.163, 0.695, 0.011)
O (0.684, 0.153, 0.989)
O (0.587, 0.555, 0.489)
O (0.066, 0.097, 0.511)
O (0.847, 0.837, 0.532)
O (0.305, 0.316, 0.468)
O (0.903, 0.413, 0.968)
O (0.445, 0.934, 0.032)